First-principles (PBE-GGA) data for a geometry-optimized Ge2IF4 structure, as listed in Alexandria via LeMat-Bulk.

abc: 5.581 7.740 8.661
angles: 92.91 107.62 102.35
Space group P1 (No. 1)
Symmetry-distinct sites (fractional):
Ge (0.000, 0.000, 0.000)
Ge (0.078, 0.415, 0.745)
Ge (0.401, 0.377, 0.351)
Ge (0.755, 0.504, 0.070)
I (0.169, 0.859, 0.591)
I (0.635, 0.887, 0.496)
F (0.127, 0.484, 0.247)
F (0.139, 0.234, 0.884)
F (0.205, 0.140, 0.222)
F (0.280, 0.325, 0.523)
F (0.414, 0.551, 0.856)
F (0.723, 0.086, 0.996)
F (0.847, 0.750, 0.130)
F (0.942, 0.534, 0.911)

crystal system	triclinic
size of the total moment	0.00	μB per formula unit
uncorrected formation energy	-1.778	eV/atom
VASP energy	-61.43	eV/cell

=====

First-principles (PBE-GGA) data for a geometry-optimized Sm6Cd5Bi structure, as listed in Alexandria via LeMat-Bulk.

abc: 5.450 7.562 16.388
angles: 90.00 90.00 90.00
Space group Immm (No. 71)
Symmetry-distinct sites (fractional):
Sm (0.000, 0.248, 0.000)
Sm (0.000, 0.251, 0.332)
Cd (0.000, 0.000, 0.167)
Cd (0.000, 0.500, 0.175)
Cd (0.000, 0.500, 0.500)
Bi (0.000, 0.000, 0.500)

crystal system	orthorhombic
size of the total moment	0.00	μB per formula unit
ΔH_f (0 K)	-37.6	kJ per mole of atoms
VASP energy	-82.91	eV/cell

=====

First-principles (PBE-GGA) data for a geometry-optimized Y4Cd2O structure, as listed in Alexandria via LeMat-Bulk.

abc: 4.768 4.768 15.311
angles: 90.00 90.00 90.00
Space group I4/mmm (No. 139)
Symmetry-distinct sites (fractional):
Y (0.000, 0.000, 0.173)
Y (0.000, 0.500, 0.000)
Cd (0.000, 0.000, 0.369)
O (0.000, 0.000, 0.000)

crystal system	tetragonal
size of the total moment	0.00	μB per formula unit
uncorrected formation energy	-0.950	eV/atom
VASP energy	-78.59	eV/cell

=====

First-principles (PBE-GGA) data for a geometry-optimized UH2I2Cl2 structure, as listed in Alexandria via LeMat-Bulk.

abc: 14.682 4.450 10.416
angles: 90.00 134.39 90.00
Space group C2/m (No. 12)
Symmetry-distinct sites (fractional):
U (0.000, 0.000, 0.000)
H (0.034, 0.000, 0.523)
I (0.062, 0.500, 0.864)
Cl (0.227, 0.000, 0.297)

crystal system	monoclinic
size of the total moment	2.00	μB per formula unit
VASP energy	-62.14	eV/cell

=====

First-principles (PBE-GGA) data for a geometry-optimized PmPr4Nd4 structure, as listed in Alexandria via LeMat-Bulk.

abc: 15.668 5.235 8.249
angles: 90.00 108.62 90.00
Space group C2/m (No. 12)
Symmetry-distinct sites (fractional):
Pm (0.000, 0.000, 0.000)
Pr (0.166, 0.500, 0.000)
Pr (0.222, 0.000, 0.334)
Nd (0.055, 0.500, 0.333)
Nd (0.111, 0.000, 0.667)

crystal system	monoclinic
size of the total moment	0.00	μB per formula unit
ΔH_f (0 K)	1.1	kJ per mole of atoms
VASP energy	-85.68	eV/cell

=====

First-principles (PBE-GGA) data for a geometry-optimized PmEu2Pu structure, as listed in Alexandria via LeMat-Bulk.

abc: 3.5584 3.5584 38.7781
angles: 90.00 90.00 120.00
Space group R-3m (No. 166, hexagonal axes)
Symmetry-distinct sites (fractional):
Pm (0.0000, 0.0000, 0.0000)
Eu (0.0000, 0.0000, 0.4139)
Pu (0.0000, 0.0000, 0.5000)

crystal system	trigonal
size of the total moment	20.86	μB per formula unit
ΔH_f (0 K)	31.6	kJ per mole of atoms
VASP energy	-114.96	eV/cell

=====

First-principles (PBE-GGA) data for a geometry-optimized In2ReSb structure, as listed in Alexandria via LeMat-Bulk.

abc: 4.915 4.915 3.515
angles: 90.00 90.00 90.00
Space group P4/mmm (No. 123)
Symmetry-distinct sites (fractional):
In (0.000, 0.500, 0.000)
Re (0.000, 0.000, 0.500)
Sb (0.500, 0.500, 0.500)

crystal system	tetragonal
size of the total moment	0.00	μB per formula unit
uncorrected formation energy	0.781	eV/atom
VASP energy	-18.92	eV/cell

=====

First-principles (PBE-GGA) data for a geometry-optimized LiTiCoCu structure, as listed in Alexandria via LeMat-Bulk.

abc: 5.878 5.878 5.878
angles: 90.00 90.00 90.00
Space group F-43m (No. 216)
Symmetry-distinct sites (fractional):
Li (0.000, 0.000, 0.000)
Ti (0.000, 0.000, 0.500)
Co (0.250, 0.250, 0.250)
Cu (0.250, 0.250, 0.750)

crystal system	cubic
size of the total moment	0.00	μB per formula unit
ΔH_f (0 K)	-0.7	kJ per mole of atoms
VASP energy	-84.15	eV/cell

=====

First-principles (PBE-GGA) data for a geometry-optimized RbAc4Te6 structure, as listed in Alexandria via LeMat-Bulk.

abc: 10.1371 10.1371 4.8756
angles: 90.00 90.00 120.00
Space group P-6m2 (No. 187)
Symmetry-distinct sites (fractional):
Rb (0.0000, 0.0000, 0.0000)
Ac (0.3333, 0.6667, 0.0000)
Ac (0.4022, 0.2011, 0.5000)
Te (0.1733, 0.3466, 0.5000)
Te (0.5314, 0.0629, 0.0000)

crystal system	hexagonal
size of the total moment	1.00	μB per formula unit
uncorrected formation energy	-1.336	eV/atom
VASP energy	-50.94	eV/cell

=====

First-principles (PBE-GGA) data for a geometry-optimized RbLiIn2Br4 structure, as listed in Alexandria via LeMat-Bulk.

abc: 9.260 9.373 13.184
angles: 90.00 90.00 90.00
Space group Imma (No. 74)
Symmetry-distinct sites (fractional):
Rb (0.250, 0.250, 0.250)
Li (0.000, 0.000, 0.000)
In (0.000, 0.000, 0.500)
In (0.250, 0.250, 0.750)
Br (0.000, 0.006, 0.800)
Br (0.249, 0.250, 0.997)

crystal system	orthorhombic
size of the total moment	0.00	μB per formula unit
uncorrected formation energy	-1.077	eV/atom
VASP energy	-94.65	eV/cell

=====

First-principles (PBE-GGA) data for a geometry-optimized Be2ReB structure, as listed in Alexandria via LeMat-Bulk.

abc: 6.031 6.031 4.273
angles: 90.00 90.00 90.00
Space group I-42d (No. 122)
Symmetry-distinct sites (fractional):
Be (0.186, 0.250, 0.125)
Re (0.000, 0.000, 0.500)
B (0.000, 0.000, 0.000)

crystal system	tetragonal
size of the total moment	0.00	μB per formula unit
ΔH_f (0 K)	19.4	kJ per mole of atoms
VASP energy	-103.09	eV/cell

=====

First-principles (PBE-GGA) data for a geometry-optimized Y2Mg structure, as listed in Alexandria via LeMat-Bulk.

abc: 3.704 17.454 5.556
angles: 90.00 90.00 90.00
Space group Cmcm (No. 63)
Symmetry-distinct sites (fractional):
Y (0.000, 0.061, 0.250)
Y (0.000, 0.384, 0.250)
Mg (0.000, 0.277, 0.750)

crystal system	orthorhombic
size of the total moment	0.00	μB per formula unit
ΔH_f (0 K)	-0.7	kJ per mole of atoms
VASP energy	-58.18	eV/cell